This record from Alexandria via LeMat-Bulk describes an optimized crystal structure of MnAl2VNi. The functional is PBE.

* DOS at the Fermi energy: 4.3 states/eV/f.u.
* formation energy: 0.5763 eV per atom
* final energy: -5.73 eV per atom
* M_tot: 0.54 Bohr magnetons per cell

Cell and atoms, written as POSCAR:
```
MnAl2VNi
1.0
4.495 0.000 0.000
0.000 4.079 0.000
0.000 0.000 4.495
Ni Mn Al V
1 1 2 1
Cartesian
2.247 2.040 2.247
0.000 0.000 0.000
0.000 0.000 2.247
2.247 0.000 0.000
0.000 2.040 0.000
```



This record from Alexandria via LeMat-Bulk describes an optimized crystal structure of Y2Mn2AlNi5. The functional is PBE.

* DOS at the Fermi energy: 6.5 states/eV/f.u.
* formation energy: -0.1933 eV per atom
* final energy: -6.58 eV per atom
* M_tot: 16.00 Bohr magnetons per cell

Cell and atoms, written as POSCAR:
```
Y2Mn2AlNi5
1.0
3.573 0.000 0.000
0.000 9.235 0.000
0.000 0.000 9.235
Y Mn Al Ni
4 4 2 10
Cartesian
0.000 6.274 1.656
0.000 2.962 7.579
0.000 1.656 2.962
0.000 7.579 6.274
0.000 1.109 5.727
0.000 8.126 3.508
0.000 5.727 8.126
0.000 3.508 1.109
0.000 0.000 0.000
0.000 4.618 4.618
1.787 1.871 0.521
1.787 7.364 8.715
1.787 0.521 7.364
1.787 6.489 4.097
1.787 8.715 1.871
1.787 2.746 5.138
1.787 5.138 6.489
1.787 4.097 2.746
1.787 4.618 0.000
1.787 0.000 4.618
```